# TmB6Mo2

Crystalline TmB6Mo2 at its relaxed geometry (PBE, Alexandria via LeMat-Bulk).

```
9
Lattice="-0.8812 1.1956 -2.7354 3.6718 -2.0980 -3.8708 -2.9128 -4.1647 -2.6528" Properties=species:S:1:pos:R:3 pbc="T T T"
B 1.7574 -1.1585 -2.8434
B 1.5099 -2.8447 -7.0425
Mo 0.0660 -4.5175 -7.3085
Mo -0.1883 -0.5495 -1.9504
B -1.6321 -2.2224 -2.2164
Tm -0.0611 -2.5335 -4.6295
B -1.8796 -3.9086 -6.4155
B -1.7620 -3.8035 -2.8657
B 2.5210 -2.4592 -3.6579
```

Calculated values
DOS(E_F)   3.2 states/eV/cell
Crystal system   orthorhombic
Magnetic moment   0.000 μB/cell
E_form   -481 meV per atom
Relative energy among the computed polymorphs   0.000 eV/atom

=====

# Ca2VPbCl8

Crystalline Ca2VPbCl8 at its relaxed geometry (PBE, Alexandria via LeMat-Bulk).

```
12
Lattice="-4.6611 0.4002 4.4223 -1.7175 -5.8485 -1.2572 5.2763 -2.7988 5.8143" Properties=species:S:1:pos:R:3 pbc="T T T"
Cl -3.1190 -1.5582 4.6825
Cl 0.5210 -2.9062 4.1030
Ca 0.8371 -4.8603 6.0196
Cl -1.6232 -5.3409 4.8764
V 0.0000 0.0000 0.0000
Cl 2.0167 -6.6889 4.2969
Cl -4.4902 -4.0591 2.1207
Cl 3.3879 -4.1881 6.8586
Pb 2.6382 -1.3994 2.9071
Cl -0.9620 -5.1095 1.0152
Cl -0.1402 -3.1377 7.9641
Ca -1.9394 -3.3869 2.9597
```

Calculated values
Crystal system   monoclinic
Magnetic moment   3.000 μB/cell
Formation energy without anion corrections   -1.7344 eV per atom

=====

# Y4MgMn

Crystalline Y4MgMn at its relaxed geometry (PBE, Alexandria via LeMat-Bulk).

```
6
Lattice="-3.1605 -5.0519 2.1709 -6.1547 0.4922 1.4492 -4.3523 -2.8253 -3.6467" Properties=species:S:1:pos:R:3 pbc="T T T"
Y -7.3029 -4.1835 -1.8388
Y -6.7052 -5.3001 1.0787
Y -5.1202 -2.7666 -0.0100
Mn 0.0000 0.0000 0.0000
Mg -10.2506 -5.5387 -0.0200
Y -8.2068 -2.5198 0.7168
```

Calculated values
DOS(E_F)   5.7 states/eV/cell
Crystal system   cubic
Magnetic moment   4.180 μB/cell
E_form   556 meV per atom